{
  "formula": "Tc2SeBr",
  "functional": "meta-GGA SCAN",
  "state": "PBEsol geometry",
  "e_form_raw_ev_per_atom": 0.775,
  "dos_at_fermi_per_ev_atom": 0.7578,
  "mass_density_g_cm3": 9.9,
  "lattice": [[-1.968, -2.220, 0.915], [0.987, -2.347, -3.572], [3.246, -1.973, 2.193]],
  "species": ["Br", "Se", "Tc", "Tc"],
  "fractional_positions": [[0.500, 0.500, 0.500], [0.500, 0.000, 0.000], [0.000, 0.000, 0.500], [0.000, 0.500, 0.000]]
}

{
  "formula": "TcSeBr2",
  "functional": "meta-GGA SCAN",
  "state": "PBEsol geometry",
  "e_form_raw_ev_per_atom": 0.025,
  "dos_at_fermi_per_ev_atom": 0.3581,
  "mass_density_g_cm3": 5.7,
  "lattice": [[4.677, 0.000, 0.000], [2.338, 6.458, 0.000], [2.338, 0.000, 6.458]],
  "species": ["Se", "Se", "Tc", "Tc", "Br", "Br", "Br", "Br"],
  "fractional_positions": [[0.250, 0.500, 0.500], [0.500, 0.000, 0.000], [0.750, 0.500, 0.500], [0.000, 0.000, 0.000], [0.987, 0.138, 0.638], [0.763, 0.862, 0.362], [0.375, 0.638, 0.862], [0.875, 0.362, 0.138]]
}

{
  "formula": "Tc2SeBr",
  "functional": "meta-GGA SCAN",
  "state": "PBEsol geometry",
  "e_form_raw_ev_per_atom": 0.769,
  "dos_at_fermi_per_ev_atom": 0.9908,
  "mass_density_g_cm3": 9.9,
  "lattice": [[-3.425, -2.023, 1.851], [-3.312, -1.432, -2.495], [-0.591, -4.306, -0.601]],
  "species": ["Br", "Se", "Tc", "Tc"],
  "fractional_positions": [[0.000, 0.000, 0.000], [0.500, 0.500, 0.500], [0.250, 0.250, 0.250], [0.750, 0.750, 0.750]]
}

{
  "formula": "Tc2SeBr",
  "functional": "meta-GGA SCAN",
  "state": "PBEsol geometry",
  "e_form_raw_ev_per_atom": 0.284,
  "dos_at_fermi_per_ev_atom": 0.5702,
  "mass_density_g_cm3": 8.1,
  "lattice": [[-0.003, -2.912, 0.792], [2.254, 0.805, 2.970], [-5.093, 0.984, 3.599]],
  "species": ["Br", "Se", "Tc", "Tc"],
  "fractional_positions": [[0.000, 0.000, 0.413], [0.500, 0.500, 0.844], [0.000, 0.000, 0.027], [0.500, 0.500, 0.216]]
}

{
  "formula": "Tc2SeBr",
  "functional": "meta-GGA SCAN",
  "state": "PBEsol geometry",
  "e_form_raw_ev_per_atom": 0.506,
  "dos_at_fermi_per_ev_atom": 0.6891,
  "mass_density_g_cm3": 8.2,
  "lattice": [[-1.999, 0.345, 2.417], [-0.654, -3.507, -0.040], [4.815, -0.945, 4.115]],
  "species": ["Br", "Se", "Tc", "Tc"],
  "fractional_positions": [[0.500, 0.500, 0.000], [0.000, 0.500, 0.500], [0.500, 0.000, 0.676], [0.500, 0.000, 0.324]]
}

{
  "formula": "TcSe2Br",
  "functional": "meta-GGA SCAN",
  "state": "PBEsol geometry",
  "e_form_raw_ev_per_atom": 0.334,
  "dos_at_fermi_per_ev_atom": 0.9157,
  "mass_density_g_cm3": 6.9,
  "lattice": [[-1.084, -2.616, -0.624], [2.427, 0.020, 1.587], [-5.884, 0.291, 8.996]],
  "species": ["Br", "Se", "Se", "Tc"],
  "fractional_positions": [[0.500, 0.500, 0.000], [0.000, 0.000, 0.314], [0.000, 0.000, 0.686], [0.500, 0.500, 0.500]]
}

{
  "formula": "TcSe2Br",
  "functional": "meta-GGA SCAN",
  "state": "PBEsol geometry",
  "e_form_raw_ev_per_atom": -0.104,
  "dos_at_fermi_per_ev_atom": 0.4389,
  "mass_density_g_cm3": 6.4,
  "lattice": [[3.281, 0.000, 0.000], [-1.640, 3.458, 0.042], [0.000, -1.440, 7.679]],
  "species": ["Br", "Se", "Se", "Tc"],
  "fractional_positions": [[0.500, 0.000, 0.500], [0.340, 0.679, 0.172], [0.660, 0.321, 0.828], [0.000, 0.000, 0.000]]
}

{
  "formula": "TcSeBr2",
  "functional": "meta-GGA SCAN",
  "state": "PBEsol geometry",
  "e_form_raw_ev_per_atom": 0.910,
  "dos_at_fermi_per_ev_atom": 0.4260,
  "mass_density_g_cm3": 7.2,
  "lattice": [[4.676, 0.000, 0.000], [-2.338, 4.266, -0.070], [0.000, 2.627, 3.868]],
  "species": ["Br", "Br", "Se", "Tc"],
  "fractional_positions": [[0.250, 0.500, 0.250], [0.750, 0.500, 0.750], [0.500, 0.000, 0.500], [0.000, 0.000, 0.000]]
}

{
  "formula": "TeSe2Br",
  "functional": "meta-GGA SCAN",
  "state": "PBEsol geometry",
  "e_form_raw_ev_per_atom": 0.093,
  "dos_at_fermi_per_ev_atom": 0.8172,
  "mass_density_g_cm3": 5.9,
  "lattice": [[-1.819, -1.492, -3.317], [-3.321, -2.317, 0.371], [-5.853, 4.604, -1.355]],
  "species": ["Br", "Se", "Se", "Te"],
  "fractional_positions": [[0.000, 0.000, 0.000], [0.241, 0.241, 0.276], [0.759, 0.759, 0.724], [0.500, 0.500, 0.500]]
}

{
  "formula": "TeSe2Br2",
  "functional": "meta-GGA SCAN",
  "state": "PBEsol geometry",
  "e_form_raw_ev_per_atom": 0.328,
  "dos_at_fermi_per_ev_atom": 0.6985,
  "mass_density_g_cm3": 5.7,
  "lattice": [[-3.785, 2.847, -1.266], [0.715, -2.131, -6.932], [-4.576, -5.537, 1.230]],
  "species": ["Te", "Te", "Se", "Se", "Se", "Se", "Br", "Br", "Br", "Br"],
  "fractional_positions": [[0.000, 0.000, 0.000], [0.000, 0.500, 0.500], [0.000, 0.388, 0.888], [0.000, 0.888, 0.612], [0.000, 0.612, 0.112], [0.000, 0.112, 0.388], [0.500, 0.230, 0.730], [0.500, 0.730, 0.770], [0.500, 0.770, 0.270], [0.500, 0.270, 0.230]]
}

{
  "formula": "TeSe2Br",
  "functional": "meta-GGA SCAN",
  "state": "PBEsol geometry",
  "e_form_raw_ev_per_atom": 0.382,
  "dos_at_fermi_per_ev_atom": 0.6727,
  "mass_density_g_cm3": 5.9,
  "lattice": [[-1.963, 1.988, -2.775], [1.615, -2.279, -2.775], [-5.067, -4.249, 0.541]],
  "species": ["Br", "Se", "Se", "Te"],
  "fractional_positions": [[0.000, 0.000, 0.500], [0.000, 0.500, 0.000], [0.500, 0.000, 0.000], [0.500, 0.500, 0.500]]
}

{
  "formula": "Te2Se2Br",
  "functional": "meta-GGA SCAN",
  "state": "PBEsol geometry",
  "e_form_raw_ev_per_atom": 0.141,
  "dos_at_fermi_per_ev_atom": 0.5844,
  "mass_density_g_cm3": 5.5,
  "lattice": [[-1.575, -3.719, -3.352], [5.006, -1.231, -0.986], [-1.805, -1.123, 6.202]],
  "species": ["Br", "Se", "Se", "Te", "Te"],
  "fractional_positions": [[0.000, 0.000, 0.000], [0.663, 0.663, 0.326], [0.337, 0.337, 0.674], [0.250, 0.750, 0.500], [0.750, 0.250, 0.500]]
}

Repeat the second record exactly.
{
  "formula": "TcSeBr2",
  "functional": "meta-GGA SCAN",
  "state": "PBEsol geometry",
  "e_form_raw_ev_per_atom": 0.025,
  "dos_at_fermi_per_ev_atom": 0.3581,
  "mass_density_g_cm3": 5.7,
  "lattice": [[4.677, 0.000, 0.000], [2.338, 6.458, 0.000], [2.338, 0.000, 6.458]],
  "species": ["Se", "Se", "Tc", "Tc", "Br", "Br", "Br", "Br"],
  "fractional_positions": [[0.250, 0.500, 0.500], [0.500, 0.000, 0.000], [0.750, 0.500, 0.500], [0.000, 0.000, 0.000], [0.987, 0.138, 0.638], [0.763, 0.862, 0.362], [0.375, 0.638, 0.862], [0.875, 0.362, 0.138]]
}

Q: Number 6 is which compound?
A: TcSe2Br